Material: TaTiSn2
Method: DFT, PBE
State: relaxed

Values from the calculation:
energy = -5.793 eV per atom
ΔE to the lowest computed polymorph = 1064 meV per atom
formation energy = 1145.0 meV per atom

Lattice parameters (Å, degrees): 6.3445 6.3445 12.4977 90.00 90.00 90.00
Element x y z (fractional)
Ta 0.0000 0.0000 0.0000
Ta 0.0000 0.5000 0.2500
Ta 0.5000 0.0000 0.7500
Ta 0.5000 0.5000 0.5000
Ti 0.0000 0.0000 0.5000
Ti 0.0000 0.5000 0.7500
Ti 0.5000 0.0000 0.2500
Ti 0.5000 0.5000 0.0000
Sn 0.2482 0.2500 0.1250
Sn 0.2500 0.7482 0.3750
Sn 0.2500 0.7518 0.8750
Sn 0.2518 0.2500 0.6250
Sn 0.7482 0.7500 0.6250
Sn 0.7500 0.2482 0.8750
Sn 0.7500 0.2518 0.3750
Sn 0.7518 0.7500 0.1250

Material: Ta3TiSn
Method: DFT, PBE
State: relaxed

Values from the calculation:
energy = -8.272 eV per atom
ΔE to the lowest computed polymorph = 0 meV per atom
formation energy = 1218.8 meV per atom

Lattice parameters (Å, degrees): 4.7314 4.7314 4.7314 90.00 90.00 90.00
Element x y z (fractional)
Ta 0.0000 0.0000 0.5000
Ta 0.0000 0.5000 0.0000
Ta 0.5000 0.0000 0.0000
Ti 0.0000 0.0000 0.0000
Sn 0.5000 0.5000 0.5000